Record 1
Entry from the Alexandria database: an optimized crystal structure of Cd2Ga2Pt5Au (PBE-GGA).

Final energy: -4.4825 eV per atom
Spin magnetization: 0.000 μB/f.u.

Cell lengths 9.450, 9.450, 3.836 Å; angles 90.00, 90.00, 90.00 degrees
Space group P4/mbm (No. 127)
Unique sites:
Cd 0.172 0.328 0.000 [4 per cell]
Ga 0.128 0.628 0.000 [4 per cell]
Pt 0.000 0.500 0.500 [2 per cell]
Pt 0.075 0.798 0.500 [8 per cell]
Au 0.000 0.000 0.000 [2 per cell]

Record 2
Entry from the Alexandria database: an optimized crystal structure of Ba2CaAg (PBE-GGA).

E above lowest polymorph: 2.1 kJ/mol of atoms
Spin magnetization: 0.000 μB/f.u.

Cell lengths 4.073, 4.073, 10.311 Å; angles 90.00, 90.00, 90.00 degrees
Space group P4mm (No. 99)
Unique sites:
Ba 0.000 0.000 0.000 [1 per cell]
Ba 0.500 0.500 0.347 [1 per cell]
Ca 0.000 0.000 0.644 [1 per cell]
Ag 0.500 0.500 0.791 [1 per cell]

Record 3
Entry from the Alexandria database: an optimized crystal structure of Ca4BeCd (PBE-GGA).

Final energy: -1.4410 eV per atom
Spin magnetization: 0.000 μB/f.u.

Cell lengths 9.410, 9.410, 9.410 Å; angles 90.00, 90.00, 90.00 degrees
Space group F-43m (No. 216)
Unique sites:
Ca 0.125 0.125 0.125 [16 per cell]
Be 0.000 0.000 0.500 [4 per cell]
Cd 0.250 0.250 0.750 [4 per cell]

Result set for N(E_F): 1.81; 3.71; 7.02 states/eV/f.u., one per record in the order listed.